# 1
Material: Cu5Mo3
Method: DFT, PBE
State: optimized geometry

Unit cell a=5.513 b=5.513 c=3.585 alpha=90.00 beta=90.00 gamma=92.18
Fractional positions:
1 Cu 0.237 0.763 0.500
2 Cu 0.500 0.000 0.000
3 Cu 0.000 0.500 0.000
4 Cu 0.763 0.237 0.500
5 Cu 0.000 0.000 0.000
6 Mo 0.262 0.262 0.500
7 Mo 0.500 0.500 0.000
8 Mo 0.738 0.738 0.500

Values from the calculation:
Its density of states at the Fermi level is 7.56 states/eV/cell. Its space group is No. 65. The magnetization comes out at 0.0 μB per formula unit. As for the total DFT energy (no corrections): -6.3228 eV per atom. The calculation puts the calculated formation energy at 299 meV per atom.



# 2
Material: SrLi3C
Method: DFT, PBE
State: optimized geometry

Unit cell a=6.415 b=6.415 c=6.415 alpha=90.00 beta=90.00 gamma=90.00
Site moments in Bohr magnetons follow the coordinates.
Fractional positions:
1 Sr 0.000 0.000 0.000  -0.11
2 Li 0.000 0.500 0.000  -0.03
3 Li 0.000 0.000 0.500  -0.02
4 Li 0.500 0.000 0.000  -0.03
5 C 0.500 0.500 0.500  1.01

Values from the calculation:
Its density of states at the Fermi level is 3.19 states/eV/cell. Its space group is No. 221. The magnetization comes out at 1.0 μB per formula unit. As for the total DFT energy (no corrections): -1.2097 eV per atom. The calculation puts the calculated formation energy at 2120 meV per atom.



# 3
Material: NaMgScCd
Method: DFT, PBE
State: optimized geometry

Unit cell a=5.037 b=5.037 c=5.037 alpha=60.00 beta=60.00 gamma=60.00
Fractional positions:
1 Mg 0.000 0.000 0.000
2 Na 0.250 0.250 0.250
3 Cd 0.750 0.750 0.750
4 Sc 0.500 0.500 0.500

Values from the calculation:
Its density of states at the Fermi level is 3.04 states/eV/cell. Its space group is No. 216. The magnetization comes out at 0.0 μB per formula unit. As for the total DFT energy (no corrections): -2.5287 eV per atom. The calculation puts the calculated formation energy at 11 meV per atom.



# 4
Material: Nd4TmSc3
Method: DFT, PBE
State: optimized geometry

Unit cell a=3.474 b=5.665 c=17.267 alpha=127.30 beta=95.77 gamma=90.00
Fractional positions:
1 Nd 0.401 0.132 0.801
2 Nd 0.599 0.868 0.199
3 Nd 0.310 0.299 0.620
4 Nd 0.690 0.701 0.380
5 Sc 0.206 0.254 0.411
6 Sc 0.000 0.500 0.000
7 Sc 0.794 0.746 0.589
8 Tm 0.500 0.000 0.000

Values from the calculation:
Its density of states at the Fermi level is 14.89 states/eV/cell. Its space group is No. 12. The magnetization comes out at 0.0 μB per formula unit. As for the total DFT energy (no corrections): -5.0181 eV per atom. The calculation puts the calculated formation energy at 299 meV per atom.



# 5
Material: Li3Sm12H5
Method: DFT, PBE
State: optimized geometry

Unit cell a=13.642 b=13.642 c=13.642 alpha=109.47 beta=109.47 gamma=109.47
Fractional positions:
1 H 0.625 0.750 0.875
2 H 0.250 0.875 0.125
3 H 0.750 0.625 0.375
4 H 0.500 0.500 0.500
5 H 0.625 0.875 0.250
6 H 0.000 0.000 0.500
7 H 0.500 0.500 0.000
8 H 0.500 0.000 0.000
9 H 0.125 0.750 0.375
10 H 0.375 0.250 0.125
11 H 0.125 0.375 0.250
12 H 0.375 0.125 0.750
13 H 0.500 0.000 0.500
14 H 0.000 0.500 0.000
15 H 0.875 0.250 0.625
16 H 0.000 0.500 0.500
17 H 0.250 0.375 0.625
18 H 0.000 0.000 0.000
19 H 0.750 0.125 0.875
20 H 0.875 0.625 0.750
21 Sm 0.595 0.608 0.403
22 Sm 0.987 0.392 0.295
23 Sm 0.403 0.108 0.595
24 Sm 0.903 0.808 0.795
25 Sm 0.097 0.905 0.392
26 Sm 0.513 0.308 0.905
27 Sm 0.513 0.205 0.108
28 Sm 0.192 0.097 0.705
29 Sm 0.405 0.013 0.308
30 Sm 0.013 0.405 0.808
31 Sm 0.487 0.795 0.892
32 Sm 0.705 0.597 0.192
33 Sm 0.295 0.892 0.987
34 Sm 0.295 0.403 0.808
35 Sm 0.108 0.403 0.095
36 Sm 0.692 0.487 0.595
37 Sm 0.405 0.392 0.597
38 Sm 0.905 0.808 0.513
39 Sm 0.795 0.308 0.903
40 Sm 0.308 0.513 0.405
41 Sm 0.095 0.903 0.108
42 Sm 0.308 0.795 0.403
43 Sm 0.597 0.892 0.405
44 Sm 0.097 0.192 0.205
45 Sm 0.013 0.608 0.705
46 Sm 0.205 0.692 0.097
47 Sm 0.808 0.903 0.295
48 Sm 0.487 0.692 0.095
49 Sm 0.192 0.095 0.987
50 Sm 0.692 0.205 0.597
51 Sm 0.095 0.192 0.487
52 Sm 0.892 0.597 0.905
53 Sm 0.795 0.487 0.392
54 Sm 0.608 0.595 0.903
55 Sm 0.608 0.013 0.205
56 Sm 0.987 0.595 0.192
57 Sm 0.905 0.097 0.892
58 Sm 0.705 0.108 0.013
59 Sm 0.403 0.295 0.308
60 Sm 0.903 0.095 0.608
61 Sm 0.392 0.987 0.795
62 Sm 0.597 0.705 0.692
63 Sm 0.808 0.905 0.013
64 Sm 0.392 0.405 0.097
65 Sm 0.205 0.513 0.608
66 Sm 0.595 0.987 0.692
67 Sm 0.108 0.705 0.513
68 Sm 0.892 0.295 0.487
69 Li 0.875 0.125 0.250
70 Li 0.250 0.125 0.375
71 Li 0.250 0.625 0.875
72 Li 0.375 0.625 0.250
73 Li 0.375 0.750 0.625
74 Li 0.750 0.375 0.125
75 Li 0.875 0.750 0.125
76 Li 0.750 0.875 0.625
77 Li 0.625 0.250 0.375
78 Li 0.125 0.875 0.750
79 Li 0.125 0.250 0.875
80 Li 0.625 0.375 0.750

Values from the calculation:
Its density of states at the Fermi level is 81.94 states/eV/cell. Its space group is No. 230. The magnetization comes out at 0.0 μB per formula unit. As for the total DFT energy (no corrections): -4.0352 eV per atom.



# 6
Material: TmNpAg2O6
Method: DFT, PBE
State: optimized geometry

Unit cell a=5.744 b=5.884 c=8.277 alpha=90.00 beta=90.16 gamma=90.00
Fractional positions:
1 Tm 0.500 0.000 0.000
2 Tm 0.000 0.500 0.500
3 Ag 0.496 0.477 0.252
4 Ag 0.996 0.023 0.752
5 Ag 0.504 0.523 0.748
6 Ag 0.004 0.977 0.248
7 O 0.289 0.690 0.050
8 O 0.789 0.810 0.550
9 O 0.684 0.288 0.548
10 O 0.211 0.190 0.450
11 O 0.092 0.469 0.761
12 O 0.711 0.310 0.950
13 O 0.408 0.969 0.739
14 O 0.816 0.788 0.952
15 O 0.908 0.531 0.239
16 O 0.184 0.212 0.048
17 O 0.316 0.712 0.452
18 O 0.592 0.031 0.261
19 Np 0.000 0.500 0.000
20 Np 0.500 0.000 0.500

Values from the calculation:
The calculation puts the uncorrected formation energy at -2063 meV per atom. Its space group is No. 14. The magnetization comes out at 0.0 μB per formula unit. As for the total DFT energy (no corrections): -7.3499 eV per atom.



Question: Among the records above, which one has the lowest total DFT energy (no corrections)?
Answer: TmNpAg2O6



Question: Which formula does entry 2 have?
Answer: SrLi3C



Question: Which formula does entry 6 have?
Answer: TmNpAg2O6



Question: Look up the magnetization of the fifth one.
Answer: 0.0 μB per formula unit